Li2NbNi after structural relaxation, computed with GGA-PBE.

```
Li2NbNi
1.0
0.000 2.979 2.979
2.979 0.000 2.979
2.979 2.979 0.000
Li Nb Ni
2 1 1
direct
0.000 0.000 0.000
0.250 0.250 0.250
0.500 0.500 0.500
0.750 0.750 0.750
```

Values from the calculation:
Energy, eV per cell: -18.72
ΔE to the lowest computed polymorph, eV/atom: 0.000